Entry 1:
First-principles (GGA-PBE) data for a relaxed Na2CdBiF crystal, as listed in Alexandria.

Lattice parameters (Å, degrees): 4.5008 4.5008 5.6251 90.00 90.00 90.00
Sites, in units of the cell vectors:
Na (0.0000, 0.5000, 0.0000)
Na (0.5000, 0.0000, 0.0000)
Cd (0.0000, 0.0000, 0.5000)
Bi (0.5000, 0.5000, 0.5000)
F (0.0000, 0.0000, 0.0000)

***

Entry 2:
First-principles (GGA-PBE) data for a relaxed RbCd2BiF8 crystal, as listed in Alexandria.

Lattice parameters (Å, degrees): 4.1752 5.9633 8.2497 84.58 88.33 81.95
Sites, in units of the cell vectors:
Rb (0.0000, 0.0000, 0.0000)
Cd (0.4205, 0.4534, 0.2196)
Cd (0.5795, 0.5466, 0.7804)
Bi (0.0000, 0.0000, 0.5000)
F (0.0535, 0.7268, 0.7384)
F (0.0905, 0.7499, 0.3044)
F (0.4273, 0.2971, 0.9786)
F (0.4513, 0.2138, 0.4557)
F (0.5487, 0.7862, 0.5443)
F (0.5727, 0.7029, 0.0214)
F (0.9095, 0.2501, 0.6956)
F (0.9465, 0.2732, 0.2616)

***

Entry 3:
First-principles (GGA-PBE) data for a relaxed Cd2BiRuF crystal, as listed in Alexandria.

Lattice parameters (Å, degrees): 5.7816 5.7816 5.2634 90.00 90.00 90.00
Sites, in units of the cell vectors:
Cd (0.0000, 0.5000, 0.0000)
Cd (0.5000, 0.0000, 0.0000)
Bi (0.0000, 0.0000, 0.0000)
Ru (0.0000, 0.0000, 0.5000)
F (0.5000, 0.5000, 0.5000)

***

Entry 4:
First-principles (GGA-PBE) data for a relaxed ScCdBiF2 crystal, as listed in Alexandria.

Lattice parameters (Å, degrees): 4.1885 4.1885 6.2209 90.00 90.00 90.00
Sites, in units of the cell vectors:
Sc (0.0000, 0.0000, 0.0000)
Cd (0.5000, 0.5000, 0.5000)
Bi (0.0000, 0.0000, 0.5000)
F (0.0000, 0.5000, 0.0000)
F (0.5000, 0.0000, 0.0000)

***

Entry 5:
First-principles (GGA-PBE) data for a relaxed Cd2BiSeF crystal, as listed in Alexandria.

Lattice parameters (Å, degrees): 5.4676 5.4676 5.6385 90.00 90.00 90.00
Sites, in units of the cell vectors:
Cd (0.0000, 0.5000, 0.0000)
Cd (0.5000, 0.0000, 0.0000)
Bi (0.0000, 0.0000, 0.5000)
Se (0.0000, 0.0000, 0.0000)
F (0.5000, 0.5000, 0.5000)

***

Entry 6:
First-principles (GGA-PBE) data for a relaxed ZnCd2BiF crystal, as listed in Alexandria.

Lattice parameters (Å, degrees): 4.9278 4.9278 4.6494 90.00 90.00 90.00
Sites, in units of the cell vectors:
Zn (0.0000, 0.0000, 0.0000)
Cd (0.0000, 0.5000, 0.5000)
Cd (0.5000, 0.0000, 0.5000)
Bi (0.5000, 0.5000, 0.0000)
F (0.0000, 0.0000, 0.5000)

***

Entry 7:
First-principles (GGA-PBE) data for a relaxed CdFe2Bi crystal, as listed in Alexandria.

Lattice parameters (Å, degrees): 9.7033 9.7033 9.7033 155.37 155.37 35.11
Sites, in units of the cell vectors:
Cd (0.0000, 0.0000, 0.0000)
Cd (0.7500, 0.2500, 0.5000)
Fe (0.0007, 0.6250, 0.8757)
Fe (0.3750, 0.2507, 0.3757)
Fe (0.7493, 0.1250, 0.1243)
Fe (0.8750, 0.9993, 0.6243)
Bi (0.2500, 0.7500, 0.5000)
Bi (0.5000, 0.5000, 0.0000)

ΔE to the lowest computed polymorph   1.22 eV per formula unit
ΔH_f (0 K)   1.03 eV/atom

***

Entry 8:
First-principles (GGA-PBE) data for a relaxed CdFeBi2 crystal, as listed in Alexandria.

Lattice parameters (Å, degrees): 7.6690 7.6690 7.6690 130.60 130.60 72.45
Sites, in units of the cell vectors:
Cd (0.0000, 0.0000, 0.0000)
Cd (0.7500, 0.2500, 0.5000)
Fe (0.2500, 0.7500, 0.5000)
Fe (0.5000, 0.5000, 0.0000)
Bi (0.1970, 0.6250, 0.0720)
Bi (0.3750, 0.4470, 0.5720)
Bi (0.5530, 0.1250, 0.9280)
Bi (0.8750, 0.8030, 0.4280)

ΔH_f (0 K)   0.58 eV/atom

***

Magnetic moment across the listed records, respectively: 0.000 0.000 2.316 0.000 0.000 0.000 0.001 0.000 μB/f.u..
Raw total energy across the listed records, respectively: -0.1090 -0.1530 -0.0999 -0.1853 -0.0791 -0.0768 -0.1619 -0.1360 Ha/atom.